No. 1
Here is a relaxed AcTbHgGe crystal from Alexandria via LeMat-Bulk. Energies are from PBE.

abc: 7.6613 7.6613 7.6613
angles: 90.00 90.00 90.00
Last column: nearest neighbours and their distance in Å.
Space group F-43m (No. 216)
Asymmetric unit:
Ac1 0.0000 0.0000 0.0000 (multiplicity 4)  4 Hg 3.32, 4 Ge 3.32
Tb1 0.0000 0.0000 0.5000 (multiplicity 4)  4 Ge 3.32, 4 Hg 3.32
Hg1 0.2500 0.2500 0.2500 (multiplicity 4)  4 Tb 3.32, 4 Ac 3.32
Ge1 0.2500 0.2500 0.7500 (multiplicity 4)  4 Ac 3.32, 4 Tb 3.32

Values from the calculation:
- energy of formation (meV per atom) = -492



No. 2
Here is a relaxed Ac6HgGe2Te3 crystal from Alexandria via LeMat-Bulk. Energies are from PBE.

abc: 20.6243 4.6591 9.5563
angles: 90.00 104.64 90.00
Last column: nearest neighbours and their distance in Å.
Space group C2/m (No. 12)
Asymmetric unit:
Ac1 0.0070 0.0000 0.2531 (multiplicity 4)  1 Ge 3.17, 2 Hg 3.33, 3 Te 3.34-3.44
Ac2 0.1675 0.5000 0.1031 (multiplicity 4)  2 Ge 3.20, 3 Te 3.34-3.47, 1 Hg 3.34
Ac3 0.1729 0.5000 0.5676 (multiplicity 4)  3 Ge 3.22, 3 Te 3.46-3.47
Hg1 0.0000 0.5000 0.0000 (multiplicity 2)  6 Ac 3.33-3.34
Ge1 0.1659 0.0000 0.3319 (multiplicity 4)  6 Ac 3.17-3.22
Te1 0.0000 0.5000 0.5000 (multiplicity 2)  6 Ac 3.34-3.46
Te2 0.1654 0.0000 0.8324 (multiplicity 4)  6 Ac 3.34-3.47

Values from the calculation:
- formation energy from raw total energies (eV per atom) = -1.10



No. 3
Here is a relaxed Ac4HgGeTe2 crystal from Alexandria via LeMat-Bulk. Energies are from PBE.

abc: 8.0690 4.6473 8.3609
angles: 90.00 108.39 90.00
Last column: nearest neighbours and their distance in Å.
Space group P2/m (No. 10)
Asymmetric unit:
Ac1 0.2340 0.0000 0.2304 (multiplicity 2)  2 Ge 3.22, 1 Hg 3.31, 3 Te 3.37-3.47
Ac2 0.2450 0.5000 0.7601 (multiplicity 2)  1 Ge 3.23, 2 Hg 3.32, 3 Te 3.36-3.43
Hg1 0.5000 0.0000 0.0000 (multiplicity 1)  6 Ac 3.31-3.32
Ge1 0.0000 0.5000 0.0000 (multiplicity 1)  6 Ac 3.22-3.23
Te1 0.0000 0.0000 0.5000 (multiplicity 1)  6 Ac 3.36-3.37
Te2 0.5000 0.5000 0.5000 (multiplicity 1)  6 Ac 3.43-3.47

Values from the calculation:
- formation energy from raw total energies (eV per atom) = -1.04